# 1
## LaTbErMg (PBE)

Data for an optimized crystal structure of LaTbErMg.

Geometry as POSCAR:
```
LaTbErMg
1.0
3.703 0.000 0.000
0.000 3.703 0.000
0.000 0.000 8.965
La Tb Er Mg
1 1 1 1
Direct
0.000 0.000 0.000 La
0.500 0.500 0.716 Tb
0.500 0.500 0.279 Er
0.000 0.000 0.494 Mg
```

Summary:
Polymorph energy (0 for the lowest one) ... 0.000 eV per atom
Space group ... P4mm, No. 99
Energy of formation ... -0.02 eV per atom

=====

# 2
## LaTbErMg (PBE)

Data for an optimized crystal structure of LaTbErMg.

Geometry as POSCAR:
```
LaTbErMg
1.0
0.000 3.952 3.952
3.952 0.000 3.952
3.952 3.952 0.000
La Tb Er Mg
1 1 1 1
Direct
0.000 0.000 0.000 La
0.500 0.500 0.500 Tb
0.250 0.250 0.250 Er
0.750 0.750 0.750 Mg
```

Summary:
Polymorph energy (0 for the lowest one) ... 0.039 eV per atom
Space group ... F-43m, No. 216
Energy of formation ... 0.02 eV per atom

=====

# 3
## La2Tb2ErMg5 (PBE)

Data for an optimized crystal structure of La2Tb2ErMg5.

Geometry as POSCAR:
```
La2Tb2ErMg5
1.0
10.632 0.000 0.000
0.000 10.632 0.000
0.000 0.000 5.114
La Tb Er Mg
4 4 2 10
Direct
0.175 0.325 0.000 La
0.325 0.825 0.000 La
0.675 0.175 0.000 La
0.825 0.675 0.000 La
0.122 0.622 0.000 Tb
0.378 0.122 0.000 Tb
0.622 0.878 0.000 Tb
0.878 0.378 0.000 Tb
0.000 0.000 0.000 Er
0.500 0.500 0.000 Er
0.000 0.500 0.500 Mg
0.071 0.803 0.500 Mg
0.197 0.071 0.500 Mg
0.303 0.571 0.500 Mg
0.429 0.303 0.500 Mg
0.500 0.000 0.500 Mg
0.571 0.697 0.500 Mg
0.697 0.429 0.500 Mg
0.803 0.929 0.500 Mg
0.929 0.197 0.500 Mg
```

Summary:
Space group ... P4/mbm, No. 127
Energy of formation ... 0.01 eV per atom

=====

Energy (eV per atom)
-3.94; -3.91; -3.16
Spin magnetization (μB per formula unit)
0.0; 0.0; 0.0
Calculated density (g/cm3)
6.61; 6.58; 5.08